PSIO2: relaxed, GGA-PBE.

Cell: 3.759 3.759 5.198 Å, 90.00 90.00 90.00°
Fractional positions:
1 P 0.000 0.000 0.000
2 S 0.000 0.000 0.500
3 I 0.500 0.500 0.000
4 O 0.000 0.500 0.500
5 O 0.500 0.000 0.500

Space-group type: P4/mmm
Raw formation energy, meV/atom: 362


PrMgGa4Cu2: relaxed, GGA-PBE.

Cell: 9.766 9.766 9.766 Å, 25.22 25.22 25.22°
Fractional positions:
1 Pr 0.000 0.000 0.000
2 Mg 0.500 0.500 0.500
3 Ga 0.117 0.117 0.117
4 Ga 0.399 0.399 0.399
5 Ga 0.601 0.601 0.601
6 Ga 0.883 0.883 0.883
7 Cu 0.237 0.237 0.237
8 Cu 0.763 0.763 0.763

ΔH_f (0 K), eV/atom: -0.262
Space-group type: R-3m


ScFeCoP2: relaxed, GGA-PBE.

Cell: 5.329 5.329 5.329 Å, 139.31 139.31 58.90°
Fractional positions:
1 Sc 0.000 0.000 0.000
2 Fe 0.750 0.250 0.500
3 Co 0.250 0.750 0.500
4 P 0.378 0.378 0.000
5 P 0.622 0.622 0.000

ΔH_f (0 K), eV/atom: -0.974
Space-group type: I-4m2


SmTl2Pd6: relaxed, GGA-PBE.

Cell: 5.557 5.557 7.325 Å, 90.00 90.00 120.00°
Fractional positions:
1 Sm 0.000 0.000 0.000
2 Tl 0.333 0.667 0.500
3 Tl 0.667 0.333 0.500
4 Pd 0.000 0.500 0.185
5 Pd 0.000 0.500 0.815
6 Pd 0.500 0.000 0.185
7 Pd 0.500 0.000 0.815
8 Pd 0.500 0.500 0.185
9 Pd 0.500 0.500 0.815

ΔH_f (0 K), eV/atom: -0.325
Space-group type: P6/mmm


HfMg2Tl3S6: relaxed, GGA-PBE.

Cell: 6.666 6.666 7.529 Å, 98.55 98.55 120.16°
Fractional positions:
1 Hf 0.000 0.000 0.000
2 Mg 0.335 0.665 0.000
3 Mg 0.665 0.335 0.000
4 Tl 0.168 0.832 0.500
5 Tl 0.500 0.500 0.500
6 Tl 0.832 0.168 0.500
7 S 0.065 0.389 0.192
8 S 0.258 0.258 0.804
9 S 0.389 0.065 0.192
10 S 0.611 0.935 0.808
11 S 0.742 0.742 0.196
12 S 0.935 0.611 0.808

Space-group type: C2/m
Raw formation energy, meV/atom: -964


Nb2FeNi9: relaxed, GGA-PBE.

Cell: 3.650 3.650 10.871 Å, 90.00 90.00 90.00°
Fractional positions:
1 Nb 0.000 0.000 0.175
2 Nb 0.000 0.000 0.825
3 Fe 0.000 0.000 0.500
4 Ni 0.000 0.500 0.000
5 Ni 0.000 0.500 0.340
6 Ni 0.000 0.500 0.660
7 Ni 0.500 0.000 0.000
8 Ni 0.500 0.000 0.340
9 Ni 0.500 0.000 0.660
10 Ni 0.500 0.500 0.167
11 Ni 0.500 0.500 0.500
12 Ni 0.500 0.500 0.833

ΔH_f (0 K), eV/atom: -0.162
Space-group type: P4/mmm